[1]
Here is a relaxed ZnNiHRh crystal from Alexandria via LeMat-Bulk. Energies are from PBE.

Cell and atoms, written as POSCAR:
```
ZnNiHRh
1.0
-1.465 1.476 4.864
1.465 -1.476 4.864
1.465 1.476 -4.864
Zn Ni H Rh
1 1 1 1
Direct
0.000 0.000 0.000
0.646 0.646 0.000
0.233 0.733 0.500
0.337 0.337 0.000
```

Computed properties:
* E_tot: -4.576 eV per atom

[2]
Here is a relaxed ZnNi2HRh crystal from Alexandria via LeMat-Bulk. Energies are from PBE.

Cell and atoms, written as POSCAR:
```
ZnNi2HRh
1.0
3.677 0.000 0.000
0.000 3.677 0.000
0.000 0.000 3.863
Zn Ni H Rh
1 2 1 1
Direct
0.000 0.000 0.000
0.000 0.500 0.500
0.500 0.000 0.500
0.500 0.500 0.500
0.500 0.500 0.000
```

Computed properties:
* distance to the lowest polymorph of the same formula: 0 meV per atom

Number 1: total magnetic moment 0.0 μB/cell. Number 2: total magnetic moment 1.2 μB/cell.